This record from Alexandria via LeMat-Bulk describes Lu3ScV4O12 after structural relaxation. The functional is GGA+U.

Unit cell a=5.2258 b=7.6326 c=5.5830 alpha=90.00 beta=91.39 gamma=90.00
Last column: nearest neighbours and their distance in Å.
Atoms (fractional coordinates):
1 Lu 0.0000 0.0000 0.0000  6 O 2.19-2.38
2 Lu 0.0556 0.5000 0.1526  6 O 2.21-2.42
3 Lu 0.5457 0.0000 0.5095  4 O 2.14-2.23
4 Sc 0.5150 0.5000 0.6361  4 O 2.04-2.19
5 V 0.0273 0.2515 0.5781  6 O 2.01-2.07
6 V 0.0273 0.7485 0.5781  6 O 2.01-2.07
7 V 0.5289 0.2521 0.0740  6 O 1.99-2.11
8 V 0.5289 0.7479 0.0740  6 O 1.99-2.11
9 O 0.1605 0.0000 0.6303  2 V 2.06, 2 Lu 2.14-2.25
10 O 0.2125 0.3152 0.8876  2 V 1.99-2.02, 1 Lu 2.22
11 O 0.2125 0.6848 0.8876  2 V 1.99-2.02, 1 Lu 2.22
12 O 0.3436 0.3207 0.3929  2 V 2.04-2.11, 1 Sc 2.11
13 O 0.3436 0.6793 0.3929  2 V 2.04-2.11, 1 Sc 2.11
14 O 0.3988 0.0000 0.1316  2 V 2.07, 2 Lu 2.19-2.23
15 O 0.6582 0.5000 0.0074  2 V 2.05, 1 Sc 2.19, 1 Lu 2.21
16 O 0.7198 0.1827 0.7676  2 V 2.01-2.07, 1 Lu 2.19
17 O 0.7198 0.8173 0.7676  2 V 2.01-2.07, 1 Lu 2.19
18 O 0.8432 0.1866 0.2666  2 V 2.00-2.03, 1 Lu 2.23
19 O 0.8432 0.8134 0.2666  2 V 2.00-2.03, 1 Lu 2.23
20 O 0.8820 0.5000 0.5200  1 Sc 2.04, 2 V 2.07, 1 Lu 2.26

Output
Its total energy is -8.3118 eV per atom. Its crystal system is monoclinic.